Density functional theory data (PBE) for a relaxed NdZn2CdAg5 crystal.

Space-group type   P4/mmm
Formation energy from the elements   8 meV/atom
Total magnetic moment   0.00 μB per formula unit

Cell and atoms, written as CIF:
```
data_NdZn2CdAg5
_cell_length_a 4.933
_cell_length_b 4.933
_cell_length_c 7.689
_cell_angle_alpha 90.00
_cell_angle_beta 90.00
_cell_angle_gamma 90.00
_space_group_name_H-M_alt 'P 1'
_space_group_IT_number 1
loop_
_space_group_symop_operation_xyz
'x,y,z'
loop_
_atom_site_label
_atom_site_type_symbol
_atom_site_fract_x
_atom_site_fract_y
_atom_site_fract_z
Nd1 Nd 0.000 0.000 0.000
Zn1 Zn 0.500 0.500 0.344
Zn2 Zn 0.500 0.500 0.656
Cd1 Cd 0.000 0.000 0.500
Ag1 Ag 0.000 0.500 0.254
Ag2 Ag 0.000 0.500 0.746
Ag3 Ag 0.500 0.000 0.254
Ag4 Ag 0.500 0.000 0.746
Ag5 Ag 0.500 0.500 0.000
```



Density functional theory data (PBE) for a relaxed CdNi3Ag crystal.

Space-group type   Pm-3m
Formation energy from the elements   1220 meV/atom
Total magnetic moment   0.97 μB per formula unit
Excess energy over the best structure of this formula in the dataset   0.0 meV/atom

Cell and atoms, written as CIF:
```
data_CdNi3Ag
_cell_length_a 4.640
_cell_length_b 4.640
_cell_length_c 4.640
_cell_angle_alpha 90.00
_cell_angle_beta 90.00
_cell_angle_gamma 90.00
_space_group_name_H-M_alt 'P 1'
_space_group_IT_number 1
loop_
_space_group_symop_operation_xyz
'x,y,z'
loop_
_atom_site_label
_atom_site_type_symbol
_atom_site_fract_x
_atom_site_fract_y
_atom_site_fract_z
Cd1 Cd 0.000 0.000 0.000
Ni1 Ni 0.000 0.500 0.500
Ni2 Ni 0.500 0.000 0.500
Ni3 Ni 0.500 0.500 0.000
Ag1 Ag 0.500 0.500 0.500
```



Density functional theory data (PBE) for a relaxed CdNiAg2 crystal.

Space-group type   Pm
Formation energy from the elements   99 meV/atom
Total magnetic moment   0.00 μB per formula unit

Cell and atoms, written as CIF:
```
data_CdNiAg2
_cell_length_a 2.943
_cell_length_b 3.830
_cell_length_c 5.949
_cell_angle_alpha 90.00
_cell_angle_beta 90.25
_cell_angle_gamma 90.00
_space_group_name_H-M_alt 'P 1'
_space_group_IT_number 1
loop_
_space_group_symop_operation_xyz
'x,y,z'
loop_
_atom_site_label
_atom_site_type_symbol
_atom_site_fract_x
_atom_site_fract_y
_atom_site_fract_z
Cd1 Cd 0.000 0.000 0.000
Ni1 Ni 0.500 0.500 0.769
Ag1 Ag 0.000 0.000 0.535
Ag2 Ag 0.500 0.500 0.277
```



Density functional theory data (PBE) for a relaxed Cd6NiAg3 crystal.

Space-group type   P2_1/m
Formation energy from the elements   -3 meV/atom
Total magnetic moment   0.00 μB per formula unit

Cell and atoms, written as CIF:
```
data_Cd6NiAg3
_cell_length_a 8.071
_cell_length_b 4.759
_cell_length_c 10.800
_cell_angle_alpha 90.00
_cell_angle_beta 111.37
_cell_angle_gamma 90.00
_space_group_name_H-M_alt 'P 1'
_space_group_IT_number 1
loop_
_space_group_symop_operation_xyz
'x,y,z'
loop_
_atom_site_label
_atom_site_type_symbol
_atom_site_fract_x
_atom_site_fract_y
_atom_site_fract_z
Cd1 Cd 0.031 0.250 0.425
Cd2 Cd 0.185 0.750 0.165
Cd3 Cd 0.262 0.250 0.017
Cd4 Cd 0.350 0.250 0.342
Cd5 Cd 0.357 0.750 0.807
Cd6 Cd 0.420 0.250 0.650
Cd7 Cd 0.580 0.750 0.350
Cd8 Cd 0.643 0.250 0.193
Cd9 Cd 0.650 0.750 0.658
Cd10 Cd 0.738 0.750 0.983
Cd11 Cd 0.815 0.250 0.835
Cd12 Cd 0.969 0.750 0.575
Ni1 Ni 0.469 0.750 0.075
Ni2 Ni 0.531 0.250 0.925
Ag1 Ag 0.040 0.750 0.874
Ag2 Ag 0.113 0.250 0.731
Ag3 Ag 0.269 0.750 0.475
Ag4 Ag 0.731 0.250 0.525
Ag5 Ag 0.887 0.750 0.269
Ag6 Ag 0.960 0.250 0.126
```



Density functional theory data (PBE) for a relaxed CdNiAg2 crystal.

Space-group type   I-4m2
Formation energy from the elements   102 meV/atom
Total magnetic moment   0.00 μB per formula unit

Cell and atoms, written as CIF:
```
data_CdNiAg2
_cell_length_a 4.926
_cell_length_b 4.926
_cell_length_c 4.926
_cell_angle_alpha 130.84
_cell_angle_beta 130.84
_cell_angle_gamma 72.07
_space_group_name_H-M_alt 'P 1'
_space_group_IT_number 1
loop_
_space_group_symop_operation_xyz
'x,y,z'
loop_
_atom_site_label
_atom_site_type_symbol
_atom_site_fract_x
_atom_site_fract_y
_atom_site_fract_z
Cd1 Cd 0.000 0.000 0.000
Ni1 Ni 0.750 0.250 0.500
Ag1 Ag 0.250 0.750 0.500
Ag2 Ag 0.500 0.500 0.000
```



Density functional theory data (PBE) for a relaxed CdNi2Ag crystal.

Space-group type   P4mm
Formation energy from the elements   113 meV/atom
Total magnetic moment   0.84 μB per formula unit

Cell and atoms, written as CIF:
```
data_CdNi2Ag
_cell_length_a 2.949
_cell_length_b 2.949
_cell_length_c 6.901
_cell_angle_alpha 90.00
_cell_angle_beta 90.00
_cell_angle_gamma 90.00
_space_group_name_H-M_alt 'P 1'
_space_group_IT_number 1
loop_
_space_group_symop_operation_xyz
'x,y,z'
loop_
_atom_site_label
_atom_site_type_symbol
_atom_site_fract_x
_atom_site_fract_y
_atom_site_fract_z
Cd1 Cd 0.000 0.000 0.000
Ni1 Ni 0.000 0.000 0.434
Ni2 Ni 0.500 0.500 0.259
Ag1 Ag 0.500 0.500 0.686
```



> Among the records above, which one has the highest formation energy from the elements?

CdNi3Ag



> Which value of formation energy from the elements does entry 2 give?

1220 meV/atom



> Which value of formation energy from the elements does entry 5 give?

102 meV/atom